No. 1
Below is a geometry-optimized Cs2P2N structure, with properties calculated at the PBEsol level.

As for the density of states at the Fermi level: 7.34 states/eV/cell. As for the space group: I4/mmm, No. 139. As for the formation energy without anion corrections: -0.072 eV/atom. The value obtained for the total energy is -44.71 eV/cell.

a b c (Å): 6.828 6.828 10.656
angles (deg): 90.00 90.00 90.00
Atoms (fractional coordinates):
Cs 0.000 0.500 0.250
Cs 0.000 0.500 0.750
Cs 0.500 0.000 0.250
Cs 0.500 0.000 0.750
P 0.000 0.000 0.150
P 0.000 0.000 0.850
P 0.500 0.500 0.350
P 0.500 0.500 0.650
N 0.000 0.000 0.000
N 0.500 0.500 0.500


No. 2
Below is a geometry-optimized CsP4N7 structure, with properties calculated at the PBEsol level.

As for the density of states at the Fermi level: 0.00 states/eV/cell. As for the space group: Pnma, No. 62. As for the formation energy without anion corrections: -0.639 eV/atom. The value obtained for the total energy is -365.83 eV/cell.

a b c (Å): 9.987 12.477 4.717
angles (deg): 90.00 90.00 90.00
Atoms (fractional coordinates):
Cs 0.144 0.250 0.221
Cs 0.356 0.750 0.721
Cs 0.644 0.250 0.279
Cs 0.856 0.750 0.779
P 0.089 0.629 0.217
P 0.089 0.871 0.217
P 0.157 0.501 0.723
P 0.157 0.999 0.723
P 0.343 0.001 0.223
P 0.343 0.499 0.223
P 0.411 0.129 0.717
P 0.411 0.371 0.717
P 0.589 0.629 0.283
P 0.589 0.871 0.283
P 0.657 0.501 0.777
P 0.657 0.999 0.777
P 0.843 0.001 0.277
P 0.843 0.499 0.277
P 0.911 0.129 0.783
P 0.911 0.371 0.783
N 0.057 0.096 0.677
N 0.057 0.404 0.677
N 0.117 0.606 0.889
N 0.117 0.894 0.889
N 0.122 0.750 0.298
N 0.202 0.546 0.390
N 0.202 0.954 0.390
N 0.298 0.046 0.890
N 0.298 0.454 0.890
N 0.378 0.250 0.798
N 0.383 0.106 0.389
N 0.383 0.394 0.389
N 0.443 0.596 0.177
N 0.443 0.904 0.177
N 0.557 0.096 0.823
N 0.557 0.404 0.823
N 0.617 0.606 0.611
N 0.617 0.894 0.611
N 0.622 0.750 0.202
N 0.702 0.546 0.110
N 0.702 0.954 0.110
N 0.798 0.046 0.610
N 0.798 0.454 0.610
N 0.878 0.250 0.702
N 0.883 0.106 0.111
N 0.883 0.394 0.111
N 0.943 0.596 0.323
N 0.943 0.904 0.323


No. 3
Below is a geometry-optimized CsReN2 structure, with properties calculated at the PBEsol level.

As for the density of states at the Fermi level: 2.95 states/eV/cell. As for the space group: Fd-3m, No. 227. As for the formation energy without anion corrections: -0.305 eV/atom. The value obtained for the total energy is -65.10 eV/cell.

a b c (Å): 6.093 6.093 6.093
angles (deg): 60.00 60.00 60.00
Atoms (fractional coordinates):
Cs 0.125 0.125 0.125
Cs 0.875 0.875 0.875
Re 0.375 0.375 0.375
Re 0.625 0.625 0.625
N 0.000 0.500 0.500
N 0.500 0.000 0.500
N 0.500 0.500 0.000
N 0.500 0.500 0.500


No. 4
Below is a geometry-optimized CsReN2 structure, with properties calculated at the PBEsol level.

As for the density of states at the Fermi level: 9.22 states/eV/cell. As for the space group: Fm-3m, No. 225. As for the formation energy without anion corrections: 2.308 eV/atom. The value obtained for the total energy is -88.38 eV/cell.

a b c (Å): 5.902 5.902 5.902
angles (deg): 90.00 90.00 90.00
Atoms (fractional coordinates):
Cs 0.000 0.000 0.000
Cs 0.000 0.500 0.500
Cs 0.500 0.000 0.500
Cs 0.500 0.500 0.000
Re 0.000 0.000 0.500
Re 0.000 0.500 0.000
Re 0.500 0.000 0.000
Re 0.500 0.500 0.500
N 0.250 0.250 0.250
N 0.250 0.250 0.750
N 0.250 0.750 0.250
N 0.250 0.750 0.750
N 0.750 0.250 0.250
N 0.750 0.250 0.750
N 0.750 0.750 0.250
N 0.750 0.750 0.750


No. 5
Below is a geometry-optimized CsReN2 structure, with properties calculated at the PBEsol level.

As for the density of states at the Fermi level: 10.68 states/eV/cell. As for the space group: Pbcm, No. 57. As for the formation energy without anion corrections: -0.310 eV/atom. The value obtained for the total energy is -260.53 eV/cell.

a b c (Å): 8.324 6.191 12.274
angles (deg): 90.00 90.00 90.00
Atoms (fractional coordinates):
Cs 0.122 0.155 0.250
Cs 0.122 0.345 0.750
Cs 0.371 0.250 0.000
Cs 0.371 0.250 0.500
Cs 0.629 0.750 0.000
Cs 0.629 0.750 0.500
Cs 0.878 0.655 0.250
Cs 0.878 0.845 0.750
Re 0.126 0.750 0.000
Re 0.126 0.750 0.500
Re 0.378 0.689 0.250
Re 0.378 0.811 0.750
Re 0.622 0.189 0.250
Re 0.622 0.311 0.750
Re 0.874 0.250 0.000
Re 0.874 0.250 0.500
N 0.000 0.000 0.000
N 0.000 0.000 0.500
N 0.000 0.500 0.000
N 0.000 0.500 0.500
N 0.255 0.726 0.124
N 0.255 0.726 0.376
N 0.255 0.774 0.624
N 0.255 0.774 0.876
N 0.473 0.085 0.750
N 0.473 0.415 0.250
N 0.527 0.585 0.750
N 0.527 0.915 0.250
N 0.745 0.226 0.124
N 0.745 0.226 0.376
N 0.745 0.274 0.624
N 0.745 0.274 0.876


No. 6
Below is a geometry-optimized CsSr2ReN structure, with properties calculated at the PBEsol level.

As for the density of states at the Fermi level: 6.70 states/eV/cell. As for the space group: P4/mmm, No. 123. As for the formation energy without anion corrections: 1.074 eV/atom. The value obtained for the total energy is -21.11 eV/cell.

a b c (Å): 5.122 5.122 5.502
angles (deg): 90.00 90.00 90.00
Atoms (fractional coordinates):
Cs 0.000 0.000 0.000
Sr 0.000 0.500 0.500
Sr 0.500 0.000 0.500
Re 0.500 0.500 0.000
N 0.000 0.000 0.500


no.,total moment (μB per formula unit)
1,0.00
2,0.00
3,0.00
4,0.00
5,0.00
6,3.12